1.
Here is a geometry-optimized Sm3Y8Tm2 structure from Alexandria. Energies are from GGA-PBE.

## Properties
DOS at the Fermi energy = 22.74 states/eV per cell
M_tot = 0.0 μB/f.u.
space group = C2/m (12)
calculated volume = 33.7 Å³ per atom
energy of formation = 244 meV per atom

Unit cell a=5.6761 b=7.7177 c=10.7191 alpha=111.10 beta=90.03 gamma=90.00
Last column: nearest neighbours and their distance in Å.
Positions (direct):
Y1 0.0003 0.8653 0.7305  4 Sm 3.50-3.92, 2 Tm 3.54-3.55, 5 Y 3.65-3.84
Y2 0.4996 0.6007 0.7825  1 Sm 3.12, 1 Y 3.23, 2 Tm 3.41-3.47
Y3 0.0009 0.6732 0.3464  2 Tm 3.31-3.32, 4 Y 3.51
Y4 0.5004 0.8182 0.2175  1 Sm 3.12, 1 Y 3.23, 2 Tm 3.41-3.47
Y5 0.5004 0.3993 0.2175  1 Sm 3.12, 1 Y 3.23, 2 Tm 3.41-3.47
Y6 0.4996 0.1818 0.7825  1 Sm 3.12, 1 Y 3.23, 2 Tm 3.41-3.47
Y7 0.9997 0.1347 0.2695  4 Sm 3.50-3.92, 2 Tm 3.54-3.55, 5 Y 3.65-3.84
Y8 0.9991 0.3268 0.6536  2 Tm 3.31-3.32, 4 Y 3.51
Sm1 0.0000 0.2896 0.0000  3 Sm 3.25-3.61, 6 Y 3.50-3.58
Sm2 0.0000 0.7104 0.0000  3 Sm 3.25-3.61, 6 Y 3.50-3.58
Sm3 0.5000 0.0000 0.0000  4 Y 3.12
Tm1 0.4990 0.2411 0.4823  8 Y 3.31-3.55
Tm2 0.5010 0.7589 0.5177  8 Y 3.31-3.55

***

2.
Here is a geometry-optimized Er3ZrBi4 structure from Alexandria. Energies are from GGA-PBE.

## Properties
DOS at the Fermi energy = 4.04 states/eV per cell
M_tot = 0.0 μB/f.u.
space group = P2/c (13)
calculated volume = 29.9 Å³ per atom
energy of formation = -650 meV per atom

Unit cell a=7.5796 b=7.6093 c=8.8004 alpha=90.00 beta=90.00 gamma=109.54
Last column: nearest neighbours and their distance in Å.
Positions (direct):
Zr1 0.2500 0.0000 0.1222  6 Bi 3.05-3.07
Zr2 0.7500 0.0000 0.8778  6 Bi 3.05-3.07
Er1 0.2500 0.5000 0.8749  6 Bi 3.10-3.15
Er2 0.7500 0.5000 0.1251  6 Bi 3.10-3.15
Er3 0.7500 0.5000 0.6243  6 Bi 3.10-3.16
Er4 0.2500 0.5000 0.3757  6 Bi 3.10-3.16
Er5 0.7500 0.0000 0.3743  6 Bi 3.10-3.11
Er6 0.2500 0.0000 0.6257  6 Bi 3.10-3.11
Bi1 0.4991 0.7564 0.1219  2 Zr 3.05-3.06, 4 Er 3.10-3.15
Bi2 0.5009 0.2436 0.8781  2 Zr 3.05-3.06, 4 Er 3.10-3.15
Bi3 0.5045 0.7545 0.6294  1 Zr 3.07, 5 Er 3.10-3.16
Bi4 0.9955 0.2455 0.6294  1 Zr 3.07, 5 Er 3.10-3.16
Bi5 0.4955 0.2455 0.3706  1 Zr 3.07, 5 Er 3.10-3.16
Bi6 0.0045 0.7545 0.3706  1 Zr 3.07, 5 Er 3.10-3.16
Bi7 0.0009 0.2436 0.1219  2 Zr 3.05-3.06, 4 Er 3.10-3.15
Bi8 0.9991 0.7564 0.8781  2 Zr 3.05-3.06, 4 Er 3.10-3.15

***

3.
Here is a geometry-optimized Tb2Dy6Sc3 structure from Alexandria. Energies are from GGA-PBE.

## Properties
DOS at the Fermi energy = 16.34 states/eV per cell
M_tot = 0.0 μB/f.u.
space group = P-1 (2)
calculated volume = 29.5 Å³ per atom
energy of formation = 44 meV per atom

Unit cell a=7.7467 b=8.4977 c=12.4837 alpha=47.25 beta=72.11 gamma=111.60
Last column: nearest neighbours and their distance in Å.
Positions (direct):
Dy1 0.1947 0.2816 0.4502  3 Sc 3.38-3.41, 3 Tb 3.47-3.56, 6 Dy 3.48-3.55
Dy2 0.0909 0.6293 0.7312  3 Tb 3.40-3.50, 4 Sc 3.43-3.50, 5 Dy 3.45-3.55
Dy3 0.8053 0.7184 0.5498  3 Sc 3.38-3.41, 3 Tb 3.47-3.56, 6 Dy 3.48-3.55
Dy4 0.2678 0.9050 0.1849  3 Sc 3.44-3.49, 7 Dy 3.45-3.50, 2 Tb 3.48
Dy5 0.9091 0.3707 0.2688  3 Tb 3.40-3.50, 4 Sc 3.43-3.50, 5 Dy 3.45-3.55
Dy6 0.7321 0.0950 0.8151  3 Sc 3.44-3.49, 7 Dy 3.45-3.50, 2 Tb 3.48
Tb1 0.6424 0.4575 0.0892  8 Dy 3.40-3.56, 3 Sc 3.45-3.51, 1 Tb 3.52
Tb2 0.3576 0.5425 0.9108  8 Dy 3.40-3.56, 3 Sc 3.45-3.51, 1 Tb 3.52
Sc1 0.5424 0.8075 0.3689  3 Sc 3.37-3.45, 7 Dy 3.38-3.50, 2 Tb 3.45-3.51
Sc2 0.4576 0.1925 0.6311  3 Sc 3.37-3.45, 7 Dy 3.38-3.50, 2 Tb 3.45-3.51
Sc3 0.0000 0.0000 0.0000  6 Dy 3.41-3.45, 4 Sc 3.44-3.45, 2 Tb 3.45

***

4.
Here is a geometry-optimized VB3Ir structure from Alexandria. Energies are from GGA-PBE.

## Properties
energy above the most stable polymorph in this dataset = 0.000 eV per atom
DOS at the Fermi energy = 4.87 states/eV per cell
M_tot = 3.3 μB/f.u.
space group = Pm-3m (221)
calculated volume = 13.1 Å³ per atom
energy of formation = 1074 meV per atom

Unit cell a=4.0350 b=4.0350 c=4.0350 alpha=90.00 beta=90.00 gamma=90.00
Last column: nearest neighbours and their distance in Å.
Positions (direct):
B1 0.0000 0.5000 0.0000  2 Ir 2.02
B2 0.0000 0.0000 0.5000  2 Ir 2.02
B3 0.5000 0.0000 0.0000  2 Ir 2.02
V1 0.5000 0.5000 0.5000  12 B 2.85
Ir1 0.0000 0.0000 0.0000  6 B 2.02

***

5.
Here is a geometry-optimized Ta2SbMo structure from Alexandria. Energies are from GGA-PBE.

## Properties
raw formation energy = 0.68 eV per atom
DOS at the Fermi energy = 8.20 states/eV per cell
M_tot = 0.0 μB/f.u.
space group = I-42d (122)
calculated volume = 19.9 Å³ per atom

Unit cell a=4.0294 b=4.0294 c=10.2342 alpha=78.65 beta=78.65 gamma=90.00
Last column: nearest neighbours and their distance in Å.
Positions (direct):
Sb1 0.0000 0.0000 0.0000  4 Ta 2.83, 4 Mo 2.85
Sb2 0.7500 0.2500 0.5000  4 Ta 2.83, 4 Mo 2.85
Mo1 0.2500 0.7500 0.5000  4 Ta 2.85, 4 Sb 2.85
Mo2 0.5000 0.5000 0.0000  4 Ta 2.85, 4 Sb 2.85
Ta1 0.8750 0.8791 0.7500  4 Ta 2.83-2.87, 2 Sb 2.83, 2 Mo 2.85
Ta2 0.3750 0.3709 0.7500  4 Ta 2.83-2.87, 2 Sb 2.83, 2 Mo 2.85
Ta3 0.6291 0.1250 0.2500  4 Ta 2.83-2.87, 2 Sb 2.83, 2 Mo 2.85
Ta4 0.1209 0.6250 0.2500  4 Ta 2.83-2.87, 2 Sb 2.83, 2 Mo 2.85

***

6.
Here is a geometry-optimized AgSe2Cl structure from Alexandria. Energies are from GGA-PBE.

## Properties
raw formation energy = -0.07 eV per atom
energy above the most stable polymorph in this dataset = 0.123 eV per atom
DOS at the Fermi energy = 1.33 states/eV per cell
M_tot = 0.0 μB/f.u.
space group = C2/m (12)
calculated volume = 27.1 Å³ per atom

Unit cell a=8.1841 b=8.1841 c=3.7060 alpha=77.19 beta=77.19 gamma=142.68
Last column: nearest neighbours and their distance in Å.
Positions (direct):
Se1 0.5000 0.5000 0.0000  4 Se 2.62-2.67
Se2 0.0000 0.0000 0.0000  4 Se 2.62-2.67
Ag1 0.5000 0.0000 0.5000  4 Cl 2.62-2.67
Cl1 0.0000 0.5000 0.5000  4 Ag 2.62-2.67